No. 1
# K2Np3VO12 PBE+U optimized geometry
data_K2Np3VO12
_cell_length_a 7.8456
_cell_length_b 7.8456
_cell_length_c 17.8122
_cell_angle_alpha 90.00
_cell_angle_beta 90.00
_cell_angle_gamma 120.00
_space_group_name_H-M_alt 'R -3 m'
_space_group_IT_number 166
_space_group_name_Hall '-R 3 2"'
loop_
_atom_site_label
_atom_site_type_symbol
_atom_site_fract_x
_atom_site_fract_y
_atom_site_fract_z
K1 K 0.0000 0.0000 0.1315
Np1 Np 0.0000 0.5000 0.0000
V1 V 0.0000 0.0000 0.5000
O1 O 0.0757 0.5379 0.3615
O2 O 0.0871 0.5435 0.1039
# * uncorrected energy: -0.62482 Ry/atom
# * calculated density: 5.4 g/cm³

No. 2
# KNp2WO8 PBE+U optimized geometry
data_KNp2WO8
_cell_length_a 5.058
_cell_length_b 6.942
_cell_length_c 5.064
_cell_angle_alpha 90.00
_cell_angle_beta 92.01
_cell_angle_gamma 90.00
_space_group_name_H-M_alt 'P 1 2/m 1'
_space_group_IT_number 10
_space_group_name_Hall '-P 2y'
loop_
_atom_site_label
_atom_site_type_symbol
_atom_site_fract_x
_atom_site_fract_y
_atom_site_fract_z
K1 K 0.000 0.000 0.000
Np1 Np 0.500 0.254 0.500
W1 W 0.000 0.500 0.000
O1 O 0.205 0.302 0.204
O2 O 0.287 0.500 0.712
O3 O 0.335 0.000 0.663
# * uncorrected energy: -0.63198 Ry/atom
# * calculated density: 7.7 g/cm³

Please write out number 1 again, unchanged.
# K2Np3VO12 PBE+U optimized geometry
data_K2Np3VO12
_cell_length_a 7.8456
_cell_length_b 7.8456
_cell_length_c 17.8122
_cell_angle_alpha 90.00
_cell_angle_beta 90.00
_cell_angle_gamma 120.00
_space_group_name_H-M_alt 'R -3 m'
_space_group_IT_number 166
_space_group_name_Hall '-R 3 2"'
loop_
_atom_site_label
_atom_site_type_symbol
_atom_site_fract_x
_atom_site_fract_y
_atom_site_fract_z
K1 K 0.0000 0.0000 0.1315
Np1 Np 0.0000 0.5000 0.0000
V1 V 0.0000 0.0000 0.5000
O1 O 0.0757 0.5379 0.3615
O2 O 0.0871 0.5435 0.1039
# * uncorrected energy: -0.62482 Ry/atom
# * calculated density: 5.4 g/cm³

> The highest calculated density belongs to which entry?

KNp2WO8